No. 1
# PmYBr5, optimized geometry, DFT PBE-GGA
# DFT total energy: -4.589 eV per atom
# Total magnetic moment: 1.01 μB per formula unit
data_PmYBr5
_chemical_formula_sum 'Pm2 Y2 Br10'
_space_group_name_H-M_alt 'P 1 21/m 1'
_space_group_IT_number 11
_cell_length_a 8.538
_cell_length_b 4.033
_cell_length_c 13.649
_cell_angle_alpha 90.00
_cell_angle_beta 94.42
_cell_angle_gamma 90.00
loop_
_space_group_symop_operation_xyz
'x,y,z'
'-x,-y,-z'
'-x,y+1/2,-z'
'x,-y+1/2,z'
loop_
_atom_site_label
_atom_site_type_symbol
_atom_site_fract_x
_atom_site_fract_y
_atom_site_fract_z
_atom_site_occupancy
Pm1 Pm 0.102 0.250 0.152 1
Y1 Y 0.416 0.750 0.344 1
Br1 Br 0.069 0.750 0.310 1
Br2 Br 0.135 0.250 0.928 1
Br3 Br 0.323 0.250 0.482 1
Br4 Br 0.350 0.750 0.128 1
Br5 Br 0.372 0.750 0.710 1



No. 2
# Pm2YBr, optimized geometry, DFT PBE-GGA
# Energy relative to the lowest polymorph listed for this composition: 0.0 kJ per mole of atoms
# Total magnetic moment: 0.00 μB per formula unit
data_Pm2YBr
_chemical_formula_sum 'Pm6 Y3 Br3'
_space_group_name_H-M_alt 'R -3 m'
_space_group_IT_number 166
_space_group_name_Hall '-R 3 2"'
_cell_length_a 3.7051
_cell_length_b 3.7051
_cell_length_c 31.5882
_cell_angle_alpha 90.00
_cell_angle_beta 90.00
_cell_angle_gamma 120.00
loop_
_atom_site_label
_atom_site_type_symbol
_atom_site_fract_x
_atom_site_fract_y
_atom_site_fract_z
_atom_site_occupancy
Pm1 Pm 0.0000 0.0000 0.2423 1
Y1 Y 0.0000 0.0000 0.0000 1
Br1 Br 0.0000 0.0000 0.5000 1